No. 1
8
Lattice="2.0319 1.1731 8.5520 -2.0319 1.1731 8.5520 0.0000 -2.3462 8.5520" Properties=species:S:1:pos:R:3 comment="GGA-PBE HoGa4CoNi2, optimized geometry" sg=R-3m pbc="T T T"
Ho 0.0000 0.0000 0.0000
Ga 0.0000 0.0000 3.4098
Ga 0.0000 0.0000 10.3406
Ga 0.0000 0.0000 15.3153
Ga 0.0000 0.0000 22.2461
Co 0.0000 0.0000 12.8279
Ni 0.0000 0.0000 5.9588
Ni 0.0000 0.0000 19.6971

---

No. 2
5
Lattice="-1.9917 1.9917 5.1002 1.9917 -1.9917 5.1002 1.9917 1.9917 -5.1002" Properties=species:S:1:pos:R:3 comment="GGA-PBE HoGa2CoNi, optimized geometry" sg=I-4m2 pbc="T T T"
Ho 0.0000 0.0000 0.0000
Ga 0.0000 0.0000 3.8229
Ga 0.0000 0.0000 6.3774
Co 0.0000 1.9917 2.5501
Ni 1.9917 0.0000 2.5501

---

No. 3
20
Lattice="8.7403 0.0000 0.0000 0.0000 8.7403 0.0000 0.0000 0.0000 3.7232" Properties=species:S:1:pos:R:3 comment="GGA-PBE Ho2GaCo2Ni5, optimized geometry" sg=P4/mbm pbc="T T T"
Ho 1.5388 2.8314 0.0000
Ho 2.8314 7.2015 0.0000
Ho 5.9089 1.5388 0.0000
Ho 7.2015 5.9089 0.0000
Ga 0.0000 0.0000 0.0000
Ga 4.3701 4.3701 0.0000
Co 1.0684 5.4385 0.0000
Co 3.3018 1.0684 0.0000
Co 5.4385 7.6719 0.0000
Co 7.6719 3.3018 0.0000
Ni 0.0000 4.3701 1.8616
Ni 0.5488 6.9391 1.8616
Ni 1.8011 0.5488 1.8616
Ni 2.5690 4.9190 1.8616
Ni 3.8213 2.5690 1.8616
Ni 4.3701 0.0000 1.8616
Ni 4.9190 6.1713 1.8616
Ni 6.1713 3.8213 1.8616
Ni 6.9391 8.1915 1.8616
Ni 8.1915 1.8011 1.8616

---

No. 4
10
Lattice="0.0000 4.5428 4.5428 4.5428 0.0000 4.5428 4.5428 4.5428 0.0000" Properties=species:S:1:pos:R:3 comment="GGA-PBE Ho2Ga6CoNi, optimized geometry" sg=Fm-3m pbc="T T T"
Ho 2.2714 2.2714 2.2714
Ho 6.8143 6.8143 6.8143
Ga 4.5428 4.5428 2.2692
Ga 4.5428 2.2692 4.5428
Ga 6.8165 4.5428 4.5428
Ga 2.2692 4.5428 4.5428
Ga 4.5428 6.8165 4.5428
Ga 4.5428 4.5428 6.8165
Co 0.0000 0.0000 0.0000
Ni 4.5428 4.5428 4.5428

---

No. 5
10
Lattice="4.0199 0.0000 0.0000 0.0000 4.0199 0.0000 0.0000 0.0000 10.0242" Properties=species:S:1:pos:R:3 comment="GGA-PBE Ho2Ga4CoNi3, optimized geometry" sg=P-4m2 pbc="T T T"
Ho 0.0000 2.0099 2.4659
Ho 2.0099 0.0000 7.5584
Ga 0.0000 0.0000 5.0121
Ga 0.0000 2.0099 8.7442
Ga 2.0099 0.0000 1.2801
Ga 2.0099 2.0099 5.0121
Co 2.0099 2.0099 0.0000
Ni 0.0000 0.0000 0.0000
Ni 0.0000 2.0099 6.3783
Ni 2.0099 0.0000 3.6459

---

No. 6
9
Lattice="4.5735 0.0000 0.0000 0.0000 4.5735 0.0000 0.0000 0.0000 7.0048" Properties=species:S:1:pos:R:3 comment="GGA-PBE HoGa5Co2Ni, optimized geometry" sg=P4/mmm pbc="T T T"
Ho 0.0000 0.0000 0.0000
Ga 0.0000 2.2868 2.1556
Ga 0.0000 2.2868 4.8492
Ga 2.2868 0.0000 2.1556
Ga 2.2868 0.0000 4.8492
Ga 2.2868 2.2868 0.0000
Co 2.2868 2.2868 2.2529
Co 2.2868 2.2868 4.7519
Ni 0.0000 0.0000 3.5024

---

No. 7
20
Lattice="9.2700 0.0000 0.0000 0.0000 9.2700 0.0000 0.0000 0.0000 3.8040" Properties=species:S:1:pos:R:3 comment="GGA-PBE Ho2Ga5Co2Ni, optimized geometry" sg=P4/mbm pbc="T T T"
Ho 1.6938 2.9412 0.0000
Ho 2.9412 7.5762 0.0000
Ho 6.3288 1.6938 0.0000
Ho 7.5762 6.3288 0.0000
Ga 0.0000 4.6350 1.9020
Ga 0.5252 7.4152 1.9020
Ga 1.8548 0.5252 1.9020
Ga 2.7802 5.1602 1.9020
Ga 4.1098 2.7802 1.9020
Ga 4.6350 0.0000 1.9020
Ga 5.1602 6.4898 1.9020
Ga 6.4898 4.1098 1.9020
Ga 7.4152 8.7448 1.9020
Ga 8.7448 1.8548 1.9020
Co 1.0532 5.6882 0.0000
Co 3.5818 1.0532 0.0000
Co 5.6882 8.2168 0.0000
Co 8.2168 3.5818 0.0000
Ni 0.0000 0.0000 0.0000
Ni 4.6350 4.6350 0.0000

---

No. 8
12
Lattice="3.8832 -5.1211 0.0000 3.8832 5.1211 0.0000 0.0000 0.0000 5.3399" Properties=species:S:1:pos:R:3 comment="GGA-PBE HoGa3CoNi, optimized geometry" sg=Cmcm pbc="T T T"
Ho 3.8832 3.0855 4.0049
Ho 3.8832 -3.0855 1.3350
Ga 1.8945 0.0000 0.0000
Ga 1.8945 0.0000 2.6700
Ga 3.8832 1.9296 1.3350
Ga 3.8832 -1.9296 4.0049
Ga 5.8718 0.0000 0.0000
Ga 5.8718 0.0000 2.6700
Co 3.8832 4.3050 1.3350
Co 3.8832 -4.3050 4.0049
Ni 3.8832 0.4212 4.0049
Ni 3.8832 -0.4212 1.3350

---

The evaluated total DFT energy (no corrections) for the records listed, in turn: -4.86; -5.18; -5.78; -4.33; -5.11; -4.56; -4.81; -4.70 eV/atom.
The evaluated energy of formation from the pure elements for the records listed, in turn: -0.44; -0.48; -0.25; -0.31; -0.54; -0.15; -0.39; -0.28 eV/atom.
The evaluated DOS at the Fermi energy for the records listed, in turn: 5.41; 3.08; 26.84; 6.57; 7.25; 6.00; 16.39; 6.36 states/eV per cell.